PrNdGeRh | PBE | optimized geometry Values from VASP.

```
&SYSTEM
  ibrav = 0, nat = 4, ntyp = 4
/
ATOMIC_SPECIES
Nd 144.24 Nd.upf
Pr 140.91 Pr.upf
Rh 102.91 Rh.upf
Ge 72.64 Ge.upf
ATOMIC_POSITIONS crystal
Nd 0.5000 0.5000 0.5000
Pr 0.0000 0.0000 0.0000
Rh 0.7500 0.7500 0.7500
Ge 0.2500 0.2500 0.2500
CELL_PARAMETERS angstrom
5.1475 0.0000 0.0000
2.5738 4.4579 0.0000
2.5738 1.4860 4.2029
```

Summary:
The value obtained for the energy above the most stable polymorph in this dataset is 185 meV per atom. As for the total magnetic moment: 0.00 μB/f.u. The calculation puts the calculated formation energy at -582 meV/atom. The calculation puts the calculated density at 7.93 Mg/m³. Its space group is F-43m.

PrNdGeRh | PBE | optimized geometry Values from VASP.

```
&SYSTEM
  ibrav = 0, nat = 4, ntyp = 4
/
ATOMIC_SPECIES
Rh 102.91 Rh.upf
Nd 144.24 Nd.upf
Pr 140.91 Pr.upf
Ge 72.64 Ge.upf
ATOMIC_POSITIONS crystal
Rh 0.4231 0.0000 0.8461
Nd 0.8630 0.5000 0.7260
Pr 0.1434 0.0000 0.2867
Ge 0.5706 0.5000 0.1411
CELL_PARAMETERS angstrom
4.2823 0.0000 0.0000
0.0000 4.2452 0.0000
-2.1412 0.0000 5.4243
```

Summary:
The value obtained for the energy above the most stable polymorph in this dataset is 0 meV per atom. As for the total magnetic moment: 0.00 μB/f.u. The calculation puts the calculated formation energy at -767 meV/atom. The calculation puts the calculated density at 7.76 Mg/m³. Its space group is Amm2.

PrNdGeS | PBE | optimized geometry Values from VASP.

```
&SYSTEM
  ibrav = 0, nat = 4, ntyp = 4
/
ATOMIC_SPECIES
Ge 72.64 Ge.upf
Pr 140.91 Pr.upf
S 32.06 S.upf
Nd 144.24 Nd.upf
ATOMIC_POSITIONS crystal
Ge 0.9434 0.9434 0.1697
Pr 0.6948 0.6948 0.9156
S 0.4449 0.4449 0.6653
Nd 0.1933 0.1933 0.4200
CELL_PARAMETERS angstrom
-3.5753 2.1646 -0.5351
-3.7179 -1.9476 0.3725
-2.5370 1.5658 6.6958
```

Summary:
The value obtained for the formation energy without anion corrections is -5.8 eV per formula unit. As for the total magnetic moment: 0.00 μB/f.u. The calculation puts the calculated density at 6.09 Mg/m³. Its space group is R3m.

calculated density of number 3 (PrNdGeS)? 6.09 Mg/m³